Entry 1:
The following is a DFT calculation (PBE-GGA) of a relaxed La2Pm5In4 crystal.

Lattice parameters (Å, degrees): 3.5084 8.8128 10.8477 84.16 90.00 90.00
Last column: nearest neighbours and their distance in Å.
Element x y z (fractional)
Pm 0.0000 0.5000 0.0000  4 In 3.31, 6 Pm 3.51-3.59
Pm 0.0000 0.8399 0.1430  6 In 3.35-3.61, 1 La 3.36, 3 Pm 3.51
Pm 0.0000 0.4559 0.3324  1 La 3.30, 4 In 3.30-3.53, 3 Pm 3.51-3.59
Pm 0.0000 0.1601 0.8570  6 In 3.35-3.61, 1 La 3.36, 3 Pm 3.51
Pm 0.0000 0.5441 0.6676  1 La 3.30, 4 In 3.30-3.53, 3 Pm 3.51-3.59
La 0.0000 0.0795 0.3651  1 La 3.11, 2 Pm 3.30-3.36, 6 In 3.31-3.44
La 0.0000 0.9205 0.6349  1 La 3.11, 2 Pm 3.30-3.36, 6 In 3.31-3.44
In 0.5000 0.7437 0.4200  6 Pm 3.30-3.53, 4 La 3.42-3.44, 2 In 3.51
In 0.5000 0.2563 0.5800  6 Pm 3.30-3.53, 4 La 3.42-3.44, 2 In 3.51
In 0.5000 0.1993 0.1149  2 La 3.31, 6 Pm 3.31-3.61, 2 In 3.51
In 0.5000 0.8007 0.8851  2 La 3.31, 6 Pm 3.31-3.61, 2 In 3.51

Calculated values
total magnetization	0.00	μB per formula unit
energy	-0.319	Ry per atom
relative energy among the computed polymorphs	0.000	eV per formula unit
SG	No. 10
energy relative to the elements	-291	meV per atom

=====

Entry 2:
The following is a DFT calculation (PBE-GGA) of a relaxed SrTe2PtN crystal.

Lattice parameters (Å, degrees): 5.8058 5.8058 3.7663 90.00 90.00 90.00
Last column: nearest neighbours and their distance in Å.
Element x y z (fractional)
Te 0.0000 0.5000 0.0000  2 Pt 2.90
Te 0.5000 0.0000 0.0000  2 Pt 2.90
Sr 0.5000 0.5000 0.5000  8 Te 3.46, 2 Sr 3.77
Pt 0.0000 0.0000 0.0000  2 N 1.88
N 0.0000 0.0000 0.5000  2 Pt 1.88

Calculated values
raw formation energy	-24	kJ/mol of atoms
total magnetization	0.00	μB per formula unit
energy	-0.347	Ry per atom
relative energy among the computed polymorphs	0.000	eV per formula unit
SG	No. 123

=====

Entry 3:
The following is a DFT calculation (PBE-GGA) of a relaxed CrMoRuW2 crystal.

Lattice parameters (Å, degrees): 4.6772 4.2855 4.6772 90.00 90.00 90.00
Last column: nearest neighbours and their distance in Å.
Element x y z (fractional)
Mo 0.5000 0.5000 0.5000  8 W 3.17, 4 Cr 3.31
W 0.5000 0.0000 0.0000  2 Ru 2.34
W 0.0000 0.0000 0.5000  2 Ru 2.34
Cr 0.0000 0.5000 0.0000  2 Ru 2.14
Ru 0.0000 0.0000 0.0000  2 Cr 2.14, 4 W 2.34

Calculated values
total magnetization	0.00	μB per formula unit
energy	-0.680	Ry per atom
SG	No. 123
energy relative to the elements	1877	meV per atom